VASP calculation (GGA-PBEsol) on an optimized crystal structure of AlCr2Cd.

Values from the calculation:
Its uncorrected energy is -0.453 Ry per atom. The formation enthalpy at 0 K comes out at 274.9 meV per atom. As for the density of states at the Fermi level: 0.742 states/eV per atom. The calculated density comes out at 6.97 g/cm³.

Geometry as POSCAR:
```
AlCr2Cd
1.0
1.463 -2.264 0.000
1.463 2.264 0.000
0.000 0.000 8.757
Al Cr Cd
1 2 1
Direct
0.000 0.000 0.000
0.000 0.000 0.573
0.500 0.500 0.765
0.500 0.500 0.297
```